Entry 1:
The following is a DFT calculation (PBE) of a relaxed CaZnPb2 crystal.

Summary:
- Total DFT energy (no corrections): -10.955 eV per formula unit
- Calculated volume: 114.7 Å³ per cell
- Space-group type: R-3m (166)
- Formation energy from the elements: -0.066 eV per atom
- Density: 7.529 Mg/m³

a = 9.3986 Å, b = 9.3986 Å, c = 9.3986 Å
α = 23.37°, β = 23.37°, γ = 23.37°
Fractional positions:
Ca 0.0000 0.0000 0.0000
Zn 0.5000 0.5000 0.5000
Pb 0.2380 0.2380 0.2380
Pb 0.7620 0.7620 0.7620

Entry 2:
The following is a DFT calculation (PBE) of a relaxed CaZn2Pb crystal.

Summary:
- Total DFT energy (no corrections): -8.274 eV per formula unit
- Calculated volume: 100.9 Å³ per cell
- Space-group type: C2/m (12)
- Formation energy from the elements: -0.004 eV per atom
- Density: 6.221 Mg/m³

a = 6.1428 Å, b = 6.1428 Å, c = 3.5260 Å
α = 105.85°, β = 105.85°, γ = 117.09°
Fractional positions:
Ca 0.0000 0.0000 0.0000
Zn 0.0000 0.5000 0.5000
Zn 0.5000 0.0000 0.5000
Pb 0.5000 0.5000 0.0000

Entry 3:
The following is a DFT calculation (PBE) of a relaxed Ca8Zn2Pb crystal.

Summary:
- Total DFT energy (no corrections): -24.651 eV per formula unit
- Calculated volume: 359.9 Å³ per cell
- Space-group type: Cm (8)
- Formation energy from the elements: -0.217 eV per atom
- Density: 3.039 Mg/m³

a = 9.8768 Å, b = 9.8768 Å, c = 7.4985 Å
α = 108.50°, β = 108.50°, γ = 31.41°
Fractional positions:
Ca 0.0000 0.0000 0.0000
Ca 0.1806 0.1806 0.4956
Ca 0.2365 0.2365 0.0753
Ca 0.4058 0.4058 0.6105
Ca 0.5392 0.5392 0.3362
Ca 0.6088 0.6088 0.8624
Ca 0.7987 0.7987 0.7492
Ca 0.8666 0.8666 0.2547
Zn 0.3881 0.3881 0.0032
Zn 0.7050 0.7050 0.2961
Pb 0.0259 0.0259 0.5972

Entry 4:
The following is a DFT calculation (PBE) of a relaxed Ca6Zn5Pb crystal.

Summary:
- Total DFT energy (no corrections): -25.704 eV per formula unit
- Calculated volume: 310.3 Å³ per cell
- Space-group type: Immm (71)
- Formation energy from the elements: -0.301 eV per atom
- Density: 4.145 Mg/m³

a = 9.1108 Å, b = 9.1108 Å, c = 9.1108 Å
α = 146.57°, β = 131.25°, γ = 60.40°
Fractional positions:
Ca 0.0752 0.3305 0.7448
Ca 0.2391 0.0000 0.2391
Ca 0.4143 0.6695 0.7448
Ca 0.5857 0.3305 0.2552
Ca 0.7609 0.0000 0.7609
Ca 0.9248 0.6695 0.2552
Zn 0.0000 0.5000 0.5000
Zn 0.1659 0.1659 0.0000
Zn 0.3337 0.8337 0.5000
Zn 0.6663 0.1663 0.5000
Zn 0.8341 0.8341 0.0000
Pb 0.5000 0.5000 0.0000